Computed, not measured: a relaxed KScBr2 crystal at the PBE level of DFT.

Lattice parameters (Å, degrees): 3.754 3.940 8.100 90.02 90.00 90.00
Each line ends with the local moment (μB).
Sites, in units of the cell vectors:
Br 0.000 0.751 0.493  0.01
Br 0.000 0.749 0.007  0.01
K 0.500 0.250 0.250  0.01
Sc 0.500 0.750 0.750  0.61

Calculated values
Its raw formation energy is -1.09 eV/atom. Its space group is Pmmm (47). The calculation puts the uncorrected energy at -3.780 eV/atom. The calculation puts the polymorph energy (0 for the lowest one) at 28.7 meV/atom.